[1]
{
  "formula": "KAg9Pd3",
  "functional": "PBE",
  "state": "relaxed",
  "e_tot_ev_per_atom": -3.27,
  "magnetic_moment_mub_per_cell": 0.00,
  "e_form_ev_per_fu": -0.2,
  "lattice_angstrom": [[2.7803, -6.7535, 0.0000], [2.7803, 6.7535, 0.0000], [-2.7273, 0.0000, 6.6817]],
  "species": ["K", "Ag", "Ag", "Ag", "Ag", "Ag", "Ag", "Ag", "Ag", "Ag", "Pd", "Pd", "Pd"],
  "fractional_positions": [[0.0000, 0.0000, 0.0000], [0.0116, 0.6591, 0.6521], [0.2736, 0.4993, 0.7768], [0.3409, 0.9884, 0.3479], [0.4993, 0.2736, 0.7768], [0.5000, 0.5000, 0.5000], [0.5007, 0.7264, 0.2232], [0.6591, 0.0116, 0.6521], [0.7264, 0.5007, 0.2232], [0.9884, 0.3409, 0.3479], [0.0000, 0.0000, 0.5000], [0.0000, 0.5000, 0.0000], [0.5000, 0.0000, 0.0000]]
}

***

[2]
{
  "formula": "Pm4Pr2Nd",
  "functional": "PBE",
  "state": "relaxed",
  "e_tot_ev_per_atom": -4.66,
  "magnetic_moment_mub_per_cell": 0.00,
  "e_form_ev_per_fu": 0.7,
  "lattice_angstrom": [[-1.7998, 2.9715, 11.6261], [1.7998, -2.9715, 11.6261], [1.7998, 2.9715, -11.6261]],
  "species": ["Pm", "Pm", "Pm", "Pm", "Pr", "Pr", "Nd"],
  "fractional_positions": [[0.0825, 0.0825, 0.0000], [0.3635, 0.3635, 0.0000], [0.6365, 0.6365, 0.0000], [0.9175, 0.9175, 0.0000], [0.2233, 0.7233, 0.5000], [0.7767, 0.2767, 0.5000], [0.5000, 0.0000, 0.5000]]
}

***

[3]
{
  "formula": "Nb2HgPb",
  "functional": "PBE",
  "state": "relaxed",
  "e_tot_ev_per_atom": -5.38,
  "magnetic_moment_mub_per_cell": 0.00,
  "e_form_ev_per_fu": 2.6,
  "lattice_angstrom": [[-3.8712, 3.8712, 2.9633], [3.8712, -3.8712, 2.9633], [3.8712, 3.8712, -2.9633]],
  "species": ["Nb", "Nb", "Nb", "Nb", "Hg", "Hg", "Pb", "Pb"],
  "fractional_positions": [[0.1233, 0.6250, 0.9983], [0.3750, 0.3733, 0.4983], [0.6267, 0.1250, 0.0017], [0.8750, 0.8767, 0.5017], [0.0000, 0.0000, 0.0000], [0.7500, 0.2500, 0.5000], [0.2500, 0.7500, 0.5000], [0.5000, 0.5000, 0.0000]]
}

***

[4]
{
  "formula": "NbGeSb",
  "functional": "PBE",
  "state": "relaxed",
  "e_tot_ev_per_atom": -6.46,
  "magnetic_moment_mub_per_cell": 0.00,
  "formation_energy_uncorrected_ev_per_atom": -0.19,
  "lattice_angstrom": [[4.7997, -1.7797, 0.0000], [4.7997, 1.7797, 0.0000], [-2.5970, 0.0000, 6.6774]],
  "species": ["Nb", "Nb", "Ge", "Ge", "Sb", "Sb"],
  "fractional_positions": [[0.0000, 0.0000, 0.0000], [0.0000, 0.0000, 0.5000], [0.3400, 0.3400, 0.6598], [0.6600, 0.6600, 0.3402], [0.3395, 0.3395, 0.1789], [0.6605, 0.6605, 0.8211]]
}

***

[5]
{
  "formula": "SrHgCl2",
  "functional": "PBE",
  "state": "relaxed",
  "e_tot_ev_per_atom": -2.91,
  "magnetic_moment_mub_per_cell": 0.00,
  "formation_energy_uncorrected_ev_per_atom": -1.49,
  "lattice_angstrom": [[4.2510, 0.0000, 0.0000], [0.0000, 4.2510, 0.0000], [0.0000, 0.0000, 8.6380]],
  "species": ["Sr", "Hg", "Cl", "Cl"],
  "fractional_positions": [[0.0000, 0.0000, 0.0000], [0.5000, 0.5000, 0.5437], [0.0000, 0.0000, 0.2981], [0.5000, 0.5000, 0.9677]]
}

***

[6]
{
  "formula": "Ca2YPb",
  "functional": "PBE",
  "state": "relaxed",
  "e_tot_ev_per_atom": -3.75,
  "magnetic_moment_mub_per_cell": 0.00,
  "e_form_ev_per_fu": -0.8,
  "lattice_angstrom": [[-2.4909, 2.4909, 5.1159], [2.4909, -2.4909, 5.1159], [2.4909, 2.4909, -5.1159]],
  "species": ["Ca", "Ca", "Y", "Pb"],
  "fractional_positions": [[0.0000, 0.0000, 0.0000], [0.7500, 0.2500, 0.5000], [0.5000, 0.5000, 0.0000], [0.2500, 0.7500, 0.5000]]
}

***

[7]
{
  "formula": "KTlFe2I6",
  "functional": "PBE",
  "state": "relaxed",
  "e_tot_ev_per_atom": -3.45,
  "magnetic_moment_mub_per_cell": 16.00,
  "formation_energy_uncorrected_ev_per_atom": -0.48,
  "lattice_angstrom": [[5.1885, -8.6450, 0.0000], [5.1885, 8.6450, 0.0000], [-1.4229, 0.0000, 11.2443]],
  "species": ["K", "K", "Tl", "Tl", "Fe", "Fe", "Fe", "Fe", "I", "I", "I", "I", "I", "I", "I", "I", "I", "I", "I", "I"],
  "fractional_positions": [[0.0892, 0.9108, 0.7500], [0.9108, 0.0892, 0.2500], [0.4407, 0.5593, 0.2500], [0.5593, 0.4407, 0.7500], [0.0647, 0.7233, 0.2888], [0.2767, 0.9353, 0.2112], [0.7233, 0.0647, 0.7888], [0.9353, 0.2767, 0.7112], [0.0530, 0.7199, 0.0576], [0.1022, 0.4904, 0.3383], [0.1743, 0.2633, 0.6428], [0.2633, 0.1743, 0.1428], [0.2801, 0.9470, 0.4424], [0.4904, 0.1022, 0.8383], [0.5096, 0.8978, 0.1617], [0.7199, 0.0530, 0.5576], [0.7367, 0.8257, 0.8572], [0.8257, 0.7367, 0.3572], [0.8978, 0.5096, 0.6617], [0.9470, 0.2801, 0.9424]]
}

***

[8]
{
  "formula": "Sc8C3S3N",
  "functional": "PBE",
  "state": "relaxed",
  "e_tot_ev_per_atom": -7.92,
  "magnetic_moment_mub_per_cell": 0.00,
  "formation_energy_uncorrected_ev_per_atom": -1.32,
  "lattice_angstrom": [[3.4069, 1.9669, 5.8697], [-3.4069, 1.9669, 5.8697], [0.0000, -3.9339, 5.8697]],
  "species": ["Sc", "Sc", "Sc", "Sc", "Sc", "Sc", "Sc", "Sc", "C", "C", "C", "S", "S", "S", "N"],
  "fractional_positions": [[0.2350, 0.7361, 0.7361], [0.2362, 0.2362, 0.2362], [0.2639, 0.2639, 0.7650], [0.2639, 0.7650, 0.2639], [0.7361, 0.2350, 0.7361], [0.7361, 0.7361, 0.2350], [0.7638, 0.7638, 0.7638], [0.7650, 0.2639, 0.2639], [0.0000, 0.0000, 0.5000], [0.0000, 0.5000, 0.0000], [0.5000, 0.0000, 0.0000], [0.0000, 0.5000, 0.5000], [0.5000, 0.0000, 0.5000], [0.5000, 0.5000, 0.0000], [0.5000, 0.5000, 0.5000]]
}

***

What is the formula in the eighth record? Sc8C3S3N